Record 1
A plane-wave DFT calculation with meta-GGA SCAN was carried out for SbSeBr2 at its PBEsol-relaxed geometry.

Its electronic total energy is -94.69 eV for the cell shown. The value obtained for the uncorrected formation energy is 0.391 eV/atom. The relative energy among the computed polymorphs is 196 meV per atom. As for the symmetry: R-3m.

a b c (Å): 3.6125 3.6125 9.2208
angles (deg): 78.70 78.70 60.00
Last column: nearest neighbours and their distance in Å.
Sites, in units of the cell vectors:
Br (0.7441, 0.7441, 0.7678)  3 Sb 2.95, 3 Se 3.18
Se (0.5000, 0.5000, 0.5000)  6 Br 3.18
Sb (0.0000, 0.0000, 0.0000)  6 Br 2.95
Br (0.2559, 0.2559, 0.2322)  3 Sb 2.95, 3 Se 3.18

Record 2
A plane-wave DFT calculation with meta-GGA SCAN was carried out for SbSeBr2 at its PBEsol-relaxed geometry.

Its electronic total energy is -94.56 eV for the cell shown. The value obtained for the uncorrected formation energy is 0.424 eV/atom. The relative energy among the computed polymorphs is 229 meV per atom. As for the symmetry: Fm-3m.

a b c (Å): 5.0911 5.0911 5.0911
angles (deg): 60.00 60.00 60.00
Last column: nearest neighbours and their distance in Å.
Sites, in units of the cell vectors:
Sb (0.0000, 0.0000, 0.0000)  8 Br 3.12
Br (0.2500, 0.2500, 0.2500)  4 Sb 3.12, 4 Se 3.12
Br (0.7500, 0.7500, 0.7500)  4 Se 3.12, 4 Sb 3.12
Se (0.5000, 0.5000, 0.5000)  8 Br 3.12

Record 3
A plane-wave DFT calculation with meta-GGA SCAN was carried out for SbSe2Br at its PBEsol-relaxed geometry.

Its electronic total energy is -95.98 eV for the cell shown. The value obtained for the uncorrected formation energy is 0.225 eV/atom. The relative energy among the computed polymorphs is 135 meV per atom. As for the symmetry: Cmm2.

a b c (Å): 3.3832 3.6060 9.0596
angles (deg): 90.00 90.00 117.98
Last column: nearest neighbours and their distance in Å.
Sites, in units of the cell vectors:
Se (0.0000, 0.0000, 0.0272)  2 Se 2.48
Se (0.5000, 0.0000, 0.2275)  2 Se 2.48
Br (0.0000, 0.0000, 0.4912)  2 Sb 2.92, 2 Se 2.93
Sb (0.5000, 0.0000, 0.7540)  2 Br 2.92, 2 Se 3.00